Entry 1:
# TbHoHg6

A geometry-optimized TbHoHg6 structure (PBE-GGA, OQMD via LeMat-Bulk).

a b c (Å): 6.5960 6.5960 4.9963
angles (deg): 90.00 90.00 120.00
Element x y z (fractional)
Tb (0.0000, 0.0000, 0.0000)
Ho (0.6667, 0.3333, 0.5000)
Hg (0.9999, 0.5000, 0.0000)
Hg (0.1670, 0.3339, 0.5000)
Hg (0.1670, 0.8330, 0.5000)
Hg (0.5000, 0.0001, 0.0000)
Hg (0.5000, 0.5000, 0.0000)
Hg (0.6661, 0.8330, 0.5000)

Results
- Energy of formation: -0.346 eV per atom
- V: 23.531 Å³ per atom



Entry 2:
# Tc6IrPd

A geometry-optimized Tc6IrPd structure (PBE-GGA, OQMD via LeMat-Bulk).

a b c (Å): 5.5383 5.5383 4.3805
angles (deg): 90.00 90.00 120.00
Element x y z (fractional)
Tc (0.0153, 0.5077, 0.0000)
Tc (0.1735, 0.3470, 0.5000)
Tc (0.1735, 0.8265, 0.5000)
Tc (0.4923, 0.5077, 0.0000)
Tc (0.4923, 0.9847, 0.0000)
Tc (0.6530, 0.8265, 0.5000)
Ir (0.6667, 0.3333, 0.5000)
Pd (0.0000, 0.0000, 0.0000)

Results
- Energy of formation: -0.159 eV per atom
- V: 14.545 Å³ per atom



Entry 3:
# GdTlCdTe3

A geometry-optimized GdTlCdTe3 structure (PBE-GGA, OQMD via LeMat-Bulk).

a b c (Å): 8.7427 4.7257 18.7095
angles (deg): 90.00 90.00 90.00
Element x y z (fractional)
Gd (0.2317, 0.2500, 0.0405)
Gd (0.2683, 0.7500, 0.5405)
Gd (0.7317, 0.2500, 0.4595)
Gd (0.7683, 0.7500, 0.9595)
Tl (0.0596, 0.2500, 0.8040)
Tl (0.4404, 0.7500, 0.3040)
Tl (0.5596, 0.2500, 0.6960)
Tl (0.9404, 0.7500, 0.1960)
Cd (0.0772, 0.2500, 0.3408)
Cd (0.4228, 0.7500, 0.8408)
Cd (0.5772, 0.2500, 0.1592)
Cd (0.9228, 0.7500, 0.6592)
Te (0.0049, 0.2500, 0.5765)
Te (0.1283, 0.7500, 0.9411)
Te (0.2319, 0.2500, 0.2072)
Te (0.2681, 0.7500, 0.7072)
Te (0.3717, 0.2500, 0.4411)
Te (0.4951, 0.7500, 0.0765)
Te (0.5049, 0.2500, 0.9235)
Te (0.6283, 0.7500, 0.5589)
Te (0.7319, 0.2500, 0.2928)
Te (0.7681, 0.7500, 0.7928)
Te (0.8717, 0.2500, 0.0589)
Te (0.9951, 0.7500, 0.4235)

Results
- V: 32.208 Å³ per atom
- Relative energy among the computed polymorphs: 0.47 eV per formula unit



Entry 4:
# Er2PBrCl

A geometry-optimized Er2PBrCl structure (PBE-GGA, OQMD via LeMat-Bulk).

a b c (Å): 3.9350 3.9350 10.2300
angles (deg): 90.00 90.00 120.00
Element x y z (fractional)
Er (0.0000, 0.0000, 0.0000)
Er (0.3333, 0.6667, 0.7060)
P (0.6667, 0.3333, 0.8530)
Br (0.0000, 0.0000, 0.5280)
Cl (0.3333, 0.6667, 0.1581)

Results
- Final energy: -27.30 eV per formula unit
- V: 27.436 Å³ per atom